Computed, not measured: a geometry-optimized TaTcAg2 structure at the PBE level of DFT.

```
16
Lattice="6.4682 0.0000 0.0000 0.0000 6.4682 0.0000 0.0000 0.0000 6.4682" Properties=species:S:1:pos:R:3 pbc="T T T"
Ta 0.0000 0.0000 0.0000
Ta 0.0000 3.2341 3.2341
Ta 3.2341 0.0000 3.2341
Ta 3.2341 3.2341 0.0000
Tc 0.0000 0.0000 3.2341
Tc 0.0000 3.2341 0.0000
Tc 3.2341 0.0000 0.0000
Tc 3.2341 3.2341 3.2341
Ag 1.6171 1.6171 1.6171
Ag 1.6171 1.6171 4.8512
Ag 1.6171 4.8512 1.6171
Ag 1.6171 4.8512 4.8512
Ag 4.8512 1.6171 1.6171
Ag 4.8512 1.6171 4.8512
Ag 4.8512 4.8512 1.6171
Ag 4.8512 4.8512 4.8512
```

Calculated values
The calculation puts the energy above the most stable polymorph in this dataset at 0.566 eV per atom. Its volume is 271 Å³ per cell.